[1]
The following is a GGA-PBE calculation of crystalline PaNb4P2 at its relaxed geometry, from Alexandria.

Cell lengths 8.3861, 8.3861, 3.6095 Å; angles 90.00, 90.00, 150.24 degrees
With the nearest neighbours (Å) after each atom.
Atoms (fractional coordinates):
1 Pa 0.0000 0.0000 0.0000  8 P 3.05, 4 Nb 3.28
2 Nb 0.1693 0.8307 0.5000  2 P 2.66, 4 Nb 2.82
3 Nb 0.3169 0.6831 0.0000  2 P 2.54, 4 Nb 2.82
4 Nb 0.6831 0.3169 0.0000  2 P 2.54, 4 Nb 2.82
5 Nb 0.8307 0.1693 0.5000  2 P 2.66, 4 Nb 2.82
6 P 0.4270 0.5730 0.5000  1 P 2.37, 2 Nb 2.54
7 P 0.5730 0.4270 0.5000  1 P 2.37, 2 Nb 2.54

***

[2]
The following is a GGA-PBE calculation of crystalline Pa3NbP4 at its relaxed geometry, from Alexandria.

Cell lengths 6.5782, 7.8471, 6.7858 Å; angles 90.00, 110.30, 90.00 degrees
With the nearest neighbours (Å) after each atom.
Atoms (fractional coordinates):
1 Pa 0.0000 0.1245 0.2500  6 P 2.72-2.84
2 Pa 0.0000 0.3713 0.7500  6 P 2.74-2.85
3 Pa 0.0000 0.6287 0.2500  6 P 2.74-2.85
4 Pa 0.0000 0.8755 0.7500  6 P 2.72-2.84
5 Pa 0.5000 0.3718 0.2500  6 P 2.74-2.75
6 Pa 0.5000 0.6282 0.7500  6 P 2.74-2.75
7 Nb 0.5000 0.1351 0.7500  6 P 2.60-2.67
8 Nb 0.5000 0.8649 0.2500  6 P 2.60-2.67
9 P 0.2573 0.3683 0.5078  1 Nb 2.60, 5 Pa 2.74-2.84
10 P 0.2573 0.6317 0.0078  1 Nb 2.60, 5 Pa 2.74-2.84
11 P 0.2699 0.1119 0.0012  2 Nb 2.65-2.67, 4 Pa 2.72-2.85
12 P 0.2699 0.8881 0.5012  2 Nb 2.65-2.67, 4 Pa 2.72-2.85
13 P 0.7301 0.1119 0.4988  2 Nb 2.65-2.67, 4 Pa 2.72-2.85
14 P 0.7301 0.8881 0.9988  2 Nb 2.65-2.67, 4 Pa 2.72-2.85
15 P 0.7427 0.3683 0.9922  1 Nb 2.60, 5 Pa 2.74-2.84
16 P 0.7427 0.6317 0.4922  1 Nb 2.60, 5 Pa 2.74-2.84

***

[3]
The following is a GGA-PBE calculation of crystalline PaNbP2 at its relaxed geometry, from Alexandria.

Cell lengths 3.2676, 3.2676, 6.5336 Å; angles 90.00, 90.00, 90.00 degrees
With the nearest neighbours (Å) after each atom.
Atoms (fractional coordinates):
1 Pa 0.0000 0.0000 0.0000  8 P 2.93, 2 Nb 3.27, 4 Pa 3.27
2 Nb 0.0000 0.0000 0.5000  8 P 2.73
3 P 0.5000 0.5000 0.2764  4 Nb 2.73, 1 P 2.92, 4 Pa 2.93
4 P 0.5000 0.5000 0.7236  4 Nb 2.73, 1 P 2.92, 4 Pa 2.93

***

[4]
The following is a GGA-PBE calculation of crystalline PaNbP2 at its relaxed geometry, from Alexandria.

Cell lengths 7.2629, 7.2629, 7.2629 Å; angles 28.22, 28.22, 28.22 degrees
With the nearest neighbours (Å) after each atom.
Atoms (fractional coordinates):
1 Pa 0.0000 0.0000 0.0000  6 P 2.80-2.86
2 Nb 0.1712 0.1712 0.1712  6 P 2.52-2.58
3 P 0.4291 0.4291 0.4291  3 Nb 2.58, 3 Pa 2.86
4 P 0.5749 0.5749 0.5749  3 Nb 2.52, 3 Pa 2.80

***

[5]
The following is a GGA-PBE calculation of crystalline PaNbP2 at its relaxed geometry, from Alexandria.

Cell lengths 9.4719, 9.4719, 9.4719 Å; angles 19.08, 19.08, 19.08 degrees
With the nearest neighbours (Å) after each atom.
Atoms (fractional coordinates):
1 Pa 0.0000 0.0000 0.0000  2 P 2.85, 6 Pa 3.14
2 Nb 0.5000 0.5000 0.5000  6 P 2.55
3 P 0.1023 0.1023 0.1023  3 Nb 2.55, 1 Pa 2.85
4 P 0.8977 0.8977 0.8977  3 Nb 2.55, 1 Pa 2.85

***

[6]
The following is a GGA-PBE calculation of crystalline PaNbP2Ru5 at its relaxed geometry, from Alexandria.

Cell lengths 4.0477, 4.0477, 8.4548 Å; angles 90.00, 90.00, 90.00 degrees
With the nearest neighbours (Å) after each atom.
Atoms (fractional coordinates):
1 Pa 0.0000 0.0000 0.0000  8 Ru 3.06, 8 P 3.09
2 Nb 0.0000 0.0000 0.5000  12 Ru 2.80-2.86
3 P 0.5000 0.5000 0.1392  4 Ru 2.31, 1 P 2.35
4 P 0.5000 0.5000 0.8608  4 Ru 2.31, 1 P 2.35
5 Ru 0.0000 0.5000 0.2717  2 P 2.31
6 Ru 0.0000 0.5000 0.7283  2 P 2.31
7 Ru 0.5000 0.0000 0.2717  2 P 2.31
8 Ru 0.5000 0.0000 0.7283  2 P 2.31
9 Ru 0.5000 0.5000 0.5000  8 Ru 2.80, 4 Nb 2.86, 2 P 3.05

***

no.,DFT total energy (eV per atom),formation energy (kJ/mol of formula units),mass density (g cm⁻³)
1,-9.246,-398,8.76
2,-8.690,-900,9.20
3,-8.346,-289,9.19
4,-8.533,-362,8.46
5,-7.802,-79,8.07
6,-9.204,-586,10.68